Below is a relaxed structure of Ce3Co2NiGe6, with properties calculated at the PBE level.

a b c (Å): 6.168 6.168 7.022
angles (deg): 90.00 90.00 120.00
Element x y z (fractional)
Ge 0.381 0.191 0.690
Ce 0.667 0.333 0.274
Ce 0.000 0.000 0.000
Co 0.333 0.667 0.028
Ge 0.809 0.619 0.690
Ce 0.333 0.667 0.726
Co 0.667 0.333 0.972
Ge 0.191 0.809 0.310
Ge 0.619 0.809 0.310
Ni 0.000 0.000 0.500
Ge 0.809 0.191 0.690
Ge 0.191 0.381 0.310

## Properties
ΔE_f   -0.2815 eV per atom
Electronic total energy   -5.74 eV/atom
SG   P-3m1 (164)